An optimized crystal structure of NaNi3Se. Source: the Alexandria database, functional PBE.

raw formation energy	234	meV per atom
magnetic moment	0.00	μB per cell
calculated volume	17.4	Å³ per atom

Cell lengths 4.4269, 4.4269, 4.4269 Å; angles 90.00, 90.00, 90.00 degrees
Closest atoms and distances in Å follow each position.
Atoms (fractional coordinates):
Ni 0.0000 0.5000 0.0000  2 Se 2.21
Ni 0.0000 0.0000 0.5000  2 Se 2.21
Ni 0.5000 0.0000 0.0000  2 Se 2.21
Se 0.0000 0.0000 0.0000  6 Ni 2.21
Na 0.5000 0.5000 0.5000  12 Ni 3.13